Record 1
An optimized crystal structure of Ga. Source: the Alexandria database, functional PBEsol.

Cell lengths 2.9561, 2.9561, 4.6901 Å; angles 90.00, 90.00, 120.00 degrees
Closest atoms and distances in Å follow each position.
Positions (direct):
Ga  0.3333  0.6667  0.2500  12 Ga 2.90-2.96
Ga  0.6667  0.3333  0.7500  12 Ga 2.90-2.96

Properties
**E above lowest polymorph**: 0.02 eV per formula unit
**E_form**: 22.2 meV per atom
**Crystal system**: hexagonal
**Mass density**: 6.5 Mg/m³
**E_tot**: -3.3176 eV per atom

---

Record 2
An optimized crystal structure of Ga. Source: the Alexandria database, functional PBEsol.

Cell lengths 4.4649, 4.4649, 4.4717 Å; angles 90.00, 90.00, 117.79 degrees
Closest atoms and distances in Å follow each position.
Positions (direct):
Ga  0.0121  0.3358  0.7500  7 Ga 2.48-2.75
Ga  0.6642  0.9879  0.2500  7 Ga 2.48-2.75
Ga  0.9879  0.6642  0.2500  7 Ga 2.48-2.75
Ga  0.3358  0.0121  0.7500  7 Ga 2.48-2.75

Properties
**E above lowest polymorph**: 0.00 eV per formula unit
**E_form**: 3.5 meV per atom
**Crystal system**: orthorhombic
**Mass density**: 5.9 Mg/m³
**E_tot**: -3.3363 eV per atom

---

Record 3
An optimized crystal structure of Ga. Source: the Alexandria database, functional PBEsol.

Cell lengths 2.9255, 2.9255, 2.9255 Å; angles 60.00, 60.00, 60.00 degrees
Closest atoms and distances in Å follow each position.
Positions (direct):
Ga  0.0000  0.0000  0.0000  12 Ga 2.93

Properties
**E above lowest polymorph**: 0.00 eV per formula unit
**E_form**: 4.8 meV per atom
**Crystal system**: cubic
**Mass density**: 6.5 Mg/m³
**E_tot**: -3.3349 eV per atom

---

Record 4
An optimized crystal structure of Ga. Source: the Alexandria database, functional PBEsol.

Cell lengths 5.1565, 5.1565, 5.1565 Å; angles 109.47, 109.47, 109.47 degrees
Closest atoms and distances in Å follow each position.
Positions (direct):
Ga  0.2500  0.3750  0.1250  8 Ga 2.78
Ga  0.6250  0.2500  0.8750  8 Ga 2.78
Ga  0.7500  0.1250  0.3750  8 Ga 2.78
Ga  0.1250  0.8750  0.2500  8 Ga 2.78
Ga  0.3750  0.6250  0.7500  8 Ga 2.78
Ga  0.8750  0.7500  0.6250  8 Ga 2.78

Properties
**E above lowest polymorph**: 0.00 eV per formula unit
**E_form**: 2.1 meV per atom
**Crystal system**: cubic
**Mass density**: 6.6 Mg/m³
**E_tot**: -3.3376 eV per atom

---

Record 5
An optimized crystal structure of Gd3Ga. Source: the Alexandria database, functional PBEsol.

Cell lengths 4.6640, 4.6640, 4.6640 Å; angles 90.00, 90.00, 90.00 degrees
Closest atoms and distances in Å follow each position.
Positions (direct):
Gd  0.0000  0.5000  0.5000  8 Gd 3.30, 4 Ga 3.30
Gd  0.5000  0.5000  0.0000  8 Gd 3.30, 4 Ga 3.30
Gd  0.5000  0.0000  0.5000  8 Gd 3.30, 4 Ga 3.30
Ga  0.0000  0.0000  0.0000  12 Gd 3.30

Properties
**E_form**: -305.6 meV per atom
**Crystal system**: cubic
**Mass density**: 8.9 Mg/m³
**E_tot**: -11.9771 eV per atom

---

Record 6
An optimized crystal structure of GdMgGa. Source: the Alexandria database, functional PBEsol.

Cell lengths 4.4155, 7.2494, 7.2494 Å; angles 120.00, 90.00, 90.00 degrees
Closest atoms and distances in Å follow each position.
Positions (direct):
Gd  0.0000  0.5747  0.0000  5 Ga 3.08-3.09, 2 Mg 3.26
Gd  0.0000  0.0000  0.5747  5 Ga 3.08-3.09, 2 Mg 3.26
Gd  0.0000  0.4253  0.4253  5 Ga 3.08-3.09, 2 Mg 3.26
Mg  0.5000  0.7560  0.7560  4 Ga 2.80-2.83, 2 Mg 3.06
Mg  0.5000  0.2440  0.0000  4 Ga 2.80-2.83, 2 Mg 3.06
Mg  0.5000  0.0000  0.2440  4 Ga 2.80-2.83, 2 Mg 3.06
Ga  0.0000  0.0000  0.0000  6 Mg 2.83, 3 Gd 3.08
Ga  0.5000  0.3333  0.6667  3 Mg 2.80, 6 Gd 3.09
Ga  0.5000  0.6667  0.3333  3 Mg 2.80, 6 Gd 3.09

Properties
**E_form**: -514.9 meV per atom
**Crystal system**: hexagonal
**Mass density**: 6.2 Mg/m³
**E_tot**: -7.0168 eV per atom